[1]
9
Lattice="7.431 -0.197 -0.284 -3.740 6.424 0.284 -3.740 -1.991 6.115" Properties=species:S:1:pos:R:3 comment="PBE Ba2Hg4Bi2Au, relaxed" e_tot_ev_per_atom=-2.197 dos_at_fermi_per_ev_cell=5.39 e_form_mev_per_atom=-409 m_tot_mub_per_cell=0.00 pbc="T T T"
Ba -0.024 4.222 1.600
Ba -0.024 0.014 4.515
Hg -3.740 4.085 1.905
Hg -2.101 3.113 4.494
Hg -3.740 0.349 4.494
Hg 2.052 1.123 1.621
Bi -5.438 3.223 4.653
Bi -2.041 1.210 1.746
Au 0.000 0.000 0.000

---

[2]
5
Lattice="5.393 0.000 0.000 0.000 5.101 0.000 0.000 0.000 5.393" Properties=species:S:1:pos:R:3 comment="PBE Sc2CrAgSn, relaxed" e_tot_ev_per_atom=-5.067 dos_at_fermi_per_ev_cell=5.56 e_form_mev_per_atom=761 m_tot_mub_per_cell=5.06 pbc="T T T"
Sc 0.000 0.000 2.697
Sc 2.697 0.000 0.000
Cr 2.697 2.551 2.697
Sn 0.000 0.000 0.000
Ag 0.000 2.551 0.000

---

[3]
14
Lattice="-4.894 -0.816 4.994 4.541 -4.582 2.816 3.002 5.343 3.767" Properties=species:S:1:pos:R:3 comment="PBE Pr3PuRh3, relaxed" e_tot_ev_per_atom=-7.700 dos_at_fermi_per_ev_cell=24.86 e_form_mev_per_atom=-454 m_tot_mub_per_cell=10.38 relative_energy_ev_per_atom=0.0718 pbc="T T T"
Pr 0.910 -1.571 6.659
Pr 4.372 -1.244 5.085
Pr -1.722 1.189 6.492
Pr 2.087 -3.603 3.383
Pr -2.439 -1.796 4.428
Pr 1.740 1.516 4.918
Pu 2.321 0.449 9.280
Pu 0.329 -0.504 2.297
Rh 0.242 -4.012 7.984
Rh -0.309 0.688 9.013
Rh 4.085 -1.065 7.999
Rh 2.959 -0.744 2.564
Rh -1.435 1.010 3.579
Rh 2.409 3.956 3.593

---

[4]
4
Lattice="-1.086 -4.121 -0.434 1.190 -2.853 2.966 -2.928 -1.729 2.605" Properties=species:S:1:pos:R:3 comment="PBE HfFeSiRu, relaxed" e_tot_ev_per_atom=-8.899 dos_at_fermi_per_ev_cell=0.25 m_tot_mub_per_cell=0.00 raw_formation_energy_ev_per_atom=-0.62 pbc="T T T"
Ru -2.118 -6.527 3.853
Si -1.412 -4.351 2.568
Hf 0.000 0.000 0.000
Fe -0.706 -2.176 1.284

---

[5]
8
Lattice="-2.883 -3.909 1.991 1.575 -3.146 -3.895 3.360 -5.039 1.892" Properties=species:S:1:pos:R:3 comment="PBE TcHSe2, relaxed" e_tot_ev_per_atom=-4.860 dos_at_fermi_per_ev_cell=5.52 m_tot_mub_per_cell=0.00 relative_energy_ev_per_atom=0.4924 pbc="T T T"
H -0.654 -3.527 -0.952
H 2.141 -5.856 -1.477
Tc 0.000 0.000 0.000
Tc -0.088 -6.237 1.466
Se -0.659 -3.953 1.158
Se 1.359 -3.857 -1.640
Se 2.088 -6.540 0.563
Se 1.319 -9.837 -0.104

---

[6]
4
Lattice="-1.217 -2.202 3.295 1.399 -3.865 0.542 5.510 0.465 4.955" Properties=species:S:1:pos:R:3 comment="PBE PmThSe2, relaxed" e_tot_ev_per_atom=-6.463 dos_at_fermi_per_ev_cell=2.18 m_tot_mub_per_cell=0.00 raw_formation_energy_ev_per_atom=-1.68 relative_energy_ev_per_atom=0.0000 pbc="T T T"
Pm 2.846 -2.801 4.396
Th 0.000 0.000 0.000
Se 1.447 -1.390 2.214
Se 4.244 -4.213 6.578

---

[7]
4
Lattice="3.281 0.000 0.000 0.000 5.470 0.000 0.000 0.000 4.412" Properties=species:S:1:pos:R:3 comment="PBE CoRePb2, relaxed" e_tot_ev_per_atom=-5.634 dos_at_fermi_per_ev_cell=4.77 e_form_mev_per_atom=1108 m_tot_mub_per_cell=0.97 relative_energy_ev_per_atom=0.6453 pbc="T T T"
Co 0.000 2.735 2.206
Pb 0.000 0.000 0.000
Pb 1.641 2.735 0.000
Re 1.641 0.000 2.206

---

[8]
18
Lattice="5.841 0.000 0.000 -2.921 5.059 0.000 0.000 0.000 11.729" Properties=species:S:1:pos:R:3 comment="PBE RbMgPbF6, relaxed" e_tot_ev_per_atom=-4.656 dos_at_fermi_per_ev_cell=7.57 m_tot_mub_per_cell=1.29 raw_formation_energy_ev_per_atom=-2.71 pbc="T T T"
Rb 0.000 0.000 0.000
Rb 0.000 0.000 5.864
Mg 0.000 3.372 2.932
Mg 2.921 1.686 8.796
Pb 2.921 1.686 2.932
Pb 0.000 3.372 8.796
F 1.666 3.203 1.782
F -0.979 2.015 1.782
F 2.234 0.159 7.646
F 3.900 3.044 9.947
F 0.979 2.015 4.082
F -1.666 3.203 4.082
F 3.607 0.159 9.947
F 0.686 4.899 4.082
F 4.586 1.855 7.646
F -0.686 4.899 1.782
F 1.941 3.044 7.646
F 1.255 1.855 9.947